1.
Here is crystalline AsOsW2 at its relaxed geometry from OQMD. Energies are from PBE-GGA.

Cell lengths 6.3035, 6.3035, 6.3035 Å; angles 90.00, 90.00, 90.00 degrees
Space group F-43m (No. 216)
Symmetry-distinct sites (fractional):
1 As 0.0000 0.0000 0.0000 (multiplicity 4)
2 Os 0.2500 0.2500 0.2500 (multiplicity 4)
3 W 0.0000 0.0000 0.5000 (multiplicity 4)
4 W 0.2500 0.2500 0.7500 (multiplicity 4)

Computed properties:
The calculation puts the final energy at -9.92 eV per atom. The density comes out at 16.78 g cm⁻³.

---

2.
Here is crystalline ZnAsOs at its relaxed geometry from OQMD. Energies are from PBE-GGA.

Cell lengths 5.8425, 5.8425, 5.8425 Å; angles 90.00, 90.00, 90.00 degrees
Space group F-43m (No. 216)
Symmetry-distinct sites (fractional):
1 Zn 0.0000 0.0000 0.0000 (multiplicity 4)
2 As 0.2500 0.2500 0.7500 (multiplicity 4)
3 Os 0.0000 0.0000 0.5000 (multiplicity 4)

Computed properties:
The calculation puts the final energy at -5.19 eV per atom. The density comes out at 11.01 g cm⁻³.

---

3.
Here is crystalline ZnAs2Os at its relaxed geometry from OQMD. Energies are from PBE-GGA.

Cell lengths 6.3282, 6.3282, 6.3282 Å; angles 90.00, 90.00, 90.00 degrees
Space group F-43m (No. 216)
Symmetry-distinct sites (fractional):
1 Zn 0.0000 0.0000 0.0000 (multiplicity 4)
2 As 0.0000 0.0000 0.5000 (multiplicity 4)
3 As 0.2500 0.2500 0.2500 (multiplicity 4)
4 Os 0.2500 0.2500 0.7500 (multiplicity 4)

Computed properties:
The calculation puts the final energy at -4.83 eV per atom. The density comes out at 10.63 g cm⁻³.

---

4.
Here is crystalline ZrAsOs at its relaxed geometry from OQMD. Energies are from PBE-GGA.

Cell lengths 7.0836, 7.0836, 3.6237 Å; angles 90.00, 90.00, 120.00 degrees
Space group P-62m (No. 189)
Symmetry-distinct sites (fractional):
1 Zr 0.0000 0.6073 0.0000 (multiplicity 3)
2 As 0.0000 0.2659 0.5000 (multiplicity 3)
3 Os 0.0000 0.0000 0.0000 (multiplicity 1)
4 Os 0.3333 0.6667 0.5000 (multiplicity 2)

Computed properties:
The calculation puts the final energy at -8.60 eV per atom. The density comes out at 11.27 g cm⁻³.

---

> Look up the final energy of the second one.

-5.19 eV per atom

---

> What is the formula in the first record?

AsOsW2

---

> Number 1 is which compound?

AsOsW2